Entry 1:
First-principles (PBE-GGA) data for a relaxed Tc2AgIr crystal, as listed in the Alexandria database.

```
Tc2AgIr
1.0
3.869 0.000 0.000
0.000 3.869 0.000
0.000 0.000 4.037
Tc Ag Ir
2 1 1
Direct
0.000 0.500 0.000
0.500 0.000 0.000
0.000 0.000 0.500
0.500 0.500 0.500
```

Results
The formation energy comes out at 454 meV per atom. The energy above the lowest structure with this stoichiometry comes out at 0.315 eV/atom. As for the density of states at the Fermi level: 5.68 states/eV/f.u.

Entry 2:
First-principles (PBE-GGA) data for a relaxed FeAg2Se crystal, as listed in the Alexandria database.

```
FeAg2Se
1.0
3.610 0.000 0.000
0.000 3.624 0.000
0.000 0.000 5.445
Fe Ag Se
1 2 1
Direct
0.000 0.000 0.000
0.500 0.500 0.242
0.500 0.500 0.758
0.000 0.000 0.500
```

Results
The calculation puts the uncorrected formation energy at 0.33 eV/atom. As for the density of states at the Fermi level: 3.93 states/eV/f.u.

Entry 3:
First-principles (PBE-GGA) data for a relaxed ReN crystal, as listed in the Alexandria database.

```
ReN
1.0
4.073 0.000 0.000
0.000 4.073 0.000
0.000 0.000 4.073
Re N
3 3
Direct
0.000 0.000 0.500
0.000 0.500 0.000
0.500 0.000 0.000
0.000 0.500 0.500
0.500 0.000 0.500
0.500 0.500 0.000
```

Results
The calculation puts the uncorrected formation energy at 0.04 eV/atom. The energy above the lowest structure with this stoichiometry comes out at 0.000 eV/atom. As for the density of states at the Fermi level: 0.96 states/eV/f.u.

Entry 4:
First-principles (PBE-GGA) data for a relaxed H3RuAu crystal, as listed in the Alexandria database.

```
H3RuAu
1.0
3.494 0.000 0.000
0.000 3.494 0.000
0.000 0.000 3.494
H Ru Au
3 1 1
Direct
0.000 0.000 0.500
0.000 0.500 0.000
0.500 0.000 0.000
0.000 0.000 0.000
0.500 0.500 0.500
```

Results
The energy above the lowest structure with this stoichiometry comes out at 0.000 eV/atom. As for the density of states at the Fermi level: 1.36 states/eV/f.u.

Entry 5:
First-principles (PBE-GGA) data for a relaxed PrNd3Ni2 crystal, as listed in the Alexandria database.

```
PrNd3Ni2
1.0
8.395 -2.084 0.000
8.395 2.084 0.000
-6.384 0.000 10.053
Pr Nd Ni
2 6 4
Direct
0.062 0.062 0.188
0.938 0.938 0.812
0.189 0.189 0.562
0.312 0.312 0.939
0.438 0.438 0.313
0.562 0.562 0.687
0.688 0.688 0.061
0.811 0.811 0.438
0.126 0.126 0.874
0.375 0.375 0.624
0.625 0.625 0.376
0.874 0.874 0.126
```

Results
The formation energy comes out at -115 meV per atom. The energy above the lowest structure with this stoichiometry comes out at 0.086 eV/atom. As for the density of states at the Fermi level: 7.01 states/eV/f.u.

Entry 6:
First-principles (PBE-GGA) data for a relaxed Tb2Pm3PuN6 crystal, as listed in the Alexandria database.

```
Tb2Pm3PuN6
1.0
3.065 -5.303 0.000
3.065 5.303 0.000
-2.048 0.000 5.798
Tb Pm Pu N
2 3 1 6
Direct
0.166 0.834 0.000
0.834 0.166 0.000
0.000 0.000 0.500
0.333 0.667 0.500
0.667 0.333 0.500
0.500 0.500 0.000
0.100 0.422 0.765
0.256 0.256 0.236
0.422 0.100 0.765
0.578 0.900 0.235
0.744 0.744 0.764
0.900 0.578 0.235
```

Results
The calculation puts the uncorrected formation energy at -1.48 eV/atom. As for the density of states at the Fermi level: 6.53 states/eV/f.u.